Below is Y3CoTe5 after structural relaxation, with properties calculated at the PBE level.

Calculated values
As for the space-group type: No. 189. As for the energy: -49.25 eV for the cell shown.

Geometry as POSCAR:
```
Y3CoTe5
1.0
8.584 0.000 0.000
-4.292 7.434 0.000
0.000 0.000 3.722
Co Te Y
1 5 3
direct
0.000 0.000 0.000
0.223 0.000 0.500
0.000 0.223 0.500
0.667 0.333 0.500
0.333 0.667 0.500
0.777 0.777 0.500
0.646 0.000 0.000
0.354 0.354 0.000
0.000 0.646 0.000
```

---

Below is Zn3CoTe4 after structural relaxation, with properties calculated at the PBE level.

Calculated values
As for the space-group type: No. 215. As for the energy: -25.61 eV for the cell shown.

Geometry as POSCAR:
```
Zn3CoTe4
1.0
-5.804 -1.653 -0.803
0.827 -4.726 3.748
-1.641 3.464 4.730
Co Te Zn
1 4 3
direct
0.000 0.000 0.000
0.243 0.243 0.243
0.757 0.757 0.243
0.757 0.243 0.757
0.243 0.757 0.757
0.500 0.500 0.000
0.500 0.000 0.500
0.000 0.500 0.500
```

---

Below is ZrCoTe2 after structural relaxation, with properties calculated at the PBE level.

Calculated values
As for the space-group type: No. 216. As for the energy: -20.63 eV for the cell shown.

Geometry as POSCAR:
```
ZrCoTe2
1.0
-3.334 -0.540 3.596
-4.540 1.850 -0.548
-3.840 -3.033 -0.631
Co Te Zr
1 2 1
direct
0.250 0.250 0.250
0.000 0.000 0.000
0.750 0.750 0.750
0.500 0.500 0.500
```

---

Below is Zr6CoTe2 after structural relaxation, with properties calculated at the PBE level.

Calculated values
As for the space-group type: No. 189. As for the energy: -69.84 eV for the cell shown.

Geometry as POSCAR:
```
Zr6CoTe2
1.0
3.635 0.000 0.000
0.000 6.749 3.896
0.000 -6.749 3.896
Co Te Zr
1 2 6
direct
0.000 0.000 0.000
0.500 0.667 0.333
0.500 0.333 0.667
0.500 0.239 0.000
0.000 0.596 0.000
0.500 0.000 0.239
0.000 0.404 0.404
0.000 0.000 0.596
0.500 0.761 0.761
```

---

Below is ThCo after structural relaxation, with properties calculated at the PBE level.

Calculated values
As for the space-group type: No. 63. As for the energy: -30.46 eV for the cell shown.

Geometry as POSCAR:
```
ThCo
1.0
2.999 0.503 -2.147
-2.289 -0.287 -3.263
0.661 5.717 -0.965
Co Th
2 2
direct
0.407 0.750 0.185
0.593 0.250 0.815
0.866 0.250 0.267
0.134 0.750 0.733
```

---

Below is ThCo3 after structural relaxation, with properties calculated at the PBE level.

Calculated values
As for the space-group type: No. 139. As for the energy: -28.51 eV for the cell shown.

Geometry as POSCAR:
```
ThCo3
1.0
3.655 1.270 2.635
-1.541 3.130 3.122
-1.625 -4.250 -1.103
Co Th
3 1
direct
0.500 0.500 0.000
0.750 0.250 0.500
0.250 0.750 0.500
0.000 0.000 0.000
```

---

Below is ThCo5 after structural relaxation, with properties calculated at the PBE level.

Calculated values
As for the space-group type: No. 191. As for the energy: -43.41 eV for the cell shown.

Geometry as POSCAR:
```
ThCo5
1.0
-2.962 0.473 3.908
2.823 -4.009 -0.478
2.936 1.829 2.004
Co Th
5 1
direct
0.667 0.333 0.000
0.333 0.667 0.000
0.500 0.000 0.500
0.500 0.500 0.500
0.000 0.500 0.500
0.000 0.000 0.000
```

---

Below is Th2Co7 after structural relaxation, with properties calculated at the PBE level.

Calculated values
As for the space-group type: No. 194. As for the energy: -264.62 eV for the cell shown.

Geometry as POSCAR:
```
Th2Co7
1.0
-0.912 4.096 -2.629
-1.664 -4.385 -1.590
-20.977 3.402 12.574
Co Th
28 8
direct
0.000 0.000 0.000
0.332 0.166 0.088
0.834 0.166 0.088
0.834 0.668 0.088
0.667 0.333 0.167
0.000 0.000 0.168
0.334 0.167 0.250
0.833 0.167 0.250
0.833 0.666 0.250
0.000 0.000 0.332
0.667 0.333 0.333
0.834 0.668 0.412
0.332 0.166 0.412
0.834 0.166 0.412
0.000 0.000 0.500
0.166 0.834 0.588
0.668 0.834 0.588
0.166 0.332 0.588
0.333 0.667 0.667
0.000 0.000 0.668
0.167 0.334 0.750
0.167 0.833 0.750
0.666 0.833 0.750
0.000 0.000 0.832
0.333 0.667 0.833
0.166 0.332 0.912
0.166 0.834 0.912
0.668 0.834 0.912
0.333 0.667 0.030
0.333 0.667 0.174
0.333 0.667 0.326
0.333 0.667 0.470
0.667 0.333 0.530
0.667 0.333 0.674
0.667 0.333 0.826
0.667 0.333 0.970
```

---

Below is ThCo3 after structural relaxation, with properties calculated at the PBE level.

Calculated values
As for the space-group type: No. 166. As for the energy: -88.32 eV for the cell shown.

Geometry as POSCAR:
```
ThCo3
1.0
-2.482 4.299 0.000
-2.482 -4.299 0.000
-2.482 1.433 8.332
Co Th
9 3
direct
0.666 0.333 0.001
0.339 0.919 0.241
0.339 0.420 0.241
0.840 0.420 0.241
0.000 0.500 0.500
0.160 0.580 0.759
0.661 0.580 0.759
0.661 0.081 0.759
0.334 0.667 0.999
0.000 0.000 0.000
0.725 0.862 0.413
0.275 0.138 0.587
```

---

Below is Th2Co17 after structural relaxation, with properties calculated at the PBE level.

Calculated values
As for the space-group type: No. 166. As for the energy: -135.02 eV for the cell shown.

Geometry as POSCAR:
```
Th2Co17
1.0
0.000 -4.812 4.041
4.168 -2.406 -4.041
4.168 2.406 4.041
Co Th
17 2
direct
0.500 0.000 0.000
0.285 0.285 0.000
0.000 0.500 0.000
0.715 0.715 0.000
0.097 0.903 0.097
0.655 0.345 0.148
0.000 0.285 0.285
0.715 0.000 0.285
0.345 0.148 0.345
0.852 0.655 0.345
0.000 0.000 0.500
0.148 0.345 0.655
0.655 0.852 0.655
0.000 0.715 0.715
0.285 0.000 0.715
0.345 0.655 0.852
0.903 0.097 0.903
0.344 0.656 0.344
0.656 0.344 0.656
```

---

Below is ThCo3 after structural relaxation, with properties calculated at the PBE level.

Calculated values
As for the space-group type: No. 194. As for the energy: -57.76 eV for the cell shown.

Geometry as POSCAR:
```
ThCo3
1.0
-3.881 3.352 2.303
-0.814 -5.561 -0.140
1.984 -0.389 3.908
Co Th
6 2
direct
0.144 0.289 0.250
0.144 0.856 0.250
0.711 0.856 0.250
0.289 0.144 0.750
0.856 0.144 0.750
0.856 0.711 0.750
0.667 0.333 0.250
0.333 0.667 0.750
```

---

Below is ThCo3 after structural relaxation, with properties calculated at the PBE level.

Calculated values
As for the space-group type: No. 225. As for the energy: -28.02 eV for the cell shown.

Geometry as POSCAR:
```
ThCo3
1.0
0.000 3.101 3.101
3.101 0.000 3.101
3.101 3.101 0.000
Co Th
3 1
direct
0.000 0.000 0.000
0.250 0.250 0.250
0.500 0.500 0.500
0.750 0.750 0.750
```

---

Number 1: total magnetic moment 0.00 μB per atom. Number 2: total magnetic moment 0.37 μB per atom. Number 3: total magnetic moment 0.26 μB per atom. Number 4: total magnetic moment 0.00 μB per atom. Number 5: total magnetic moment 0.00 μB per atom. Number 6: total magnetic moment 0.39 μB per atom. Number 7: total magnetic moment 0.01 μB per atom. Number 8: total magnetic moment 0.73 μB per atom. Number 9: total magnetic moment 0.00 μB per atom. Number 10: total magnetic moment 0.00 μB per atom. Number 11: total magnetic moment 0.62 μB per atom. Number 12: total magnetic moment 0.34 μB per atom.